Entry from Alexandria: Pu2Ge3Au6 after structural relaxation (PBE-GGA).

ΔE_f	-27	kJ per mole of atoms

a = 7.7966 Å, b = 7.7966 Å, c = 4.4065 Å
α = 90.00°, β = 90.00°, γ = 120.00°
Space group P-62m (No. 189)
Asymmetric unit:
Pu 0.3333 0.6667 0.0000 (multiplicity 2)
Ge 0.0000 0.6276 0.5000 (multiplicity 3)
Au 0.0000 0.3067 0.5000 (multiplicity 3)
Au 0.0000 0.7899 0.0000 (multiplicity 3)

Entry from Alexandria: Pu3Ge2Au3 after structural relaxation (PBE-GGA).

ΔE_f	-40	kJ per mole of atoms

a = 6.9417 Å, b = 6.9417 Å, c = 4.3461 Å
α = 90.00°, β = 90.00°, γ = 120.00°
Space group P-62m (No. 189)
Asymmetric unit:
Pu 0.0000 0.6064 0.0000 (multiplicity 3)
Ge 0.3333 0.6667 0.5000 (multiplicity 2)
Au 0.0000 0.2383 0.5000 (multiplicity 3)

Entry from Alexandria: PuGe2Au4 after structural relaxation (PBE-GGA).

ΔE_f	-22	kJ per mole of atoms

a = 4.384 Å, b = 14.450 Å, c = 4.407 Å
α = 90.00°, β = 90.00°, γ = 90.00°
Space group Cmmm (No. 65)
Asymmetric unit:
Pu 0.000 0.000 0.000 (multiplicity 2)
Ge 0.000 0.415 0.500 (multiplicity 4)
Au 0.000 0.179 0.500 (multiplicity 4)
Au 0.000 0.321 0.000 (multiplicity 4)

Entry from Alexandria: PuGeSbAu after structural relaxation (PBE-GGA).

raw formation energy	-0.211	eV per atom

a = 7.155 Å, b = 7.155 Å, c = 7.155 Å
α = 90.00°, β = 90.00°, γ = 90.00°
Space group F-43m (No. 216)
Asymmetric unit:
Pu 0.000 0.000 0.000 (multiplicity 4)
Ge 0.250 0.250 0.750 (multiplicity 4)
Sb 0.000 0.000 0.500 (multiplicity 4)
Au 0.250 0.250 0.250 (multiplicity 4)

Entry from Alexandria: PuScGeAu after structural relaxation (PBE-GGA).

ΔE_f	-51	kJ per mole of atoms

a = 7.036 Å, b = 7.036 Å, c = 7.036 Å
α = 90.00°, β = 90.00°, γ = 90.00°
Space group F-43m (No. 216)
Asymmetric unit:
Pu 0.000 0.000 0.000 (multiplicity 4)
Sc 0.000 0.000 0.500 (multiplicity 4)
Ge 0.250 0.250 0.250 (multiplicity 4)
Au 0.250 0.250 0.750 (multiplicity 4)

Entry from Alexandria: SmPuGeAu after structural relaxation (PBE-GGA).

ΔE_f	-54	kJ per mole of atoms

a = 7.299 Å, b = 7.299 Å, c = 7.299 Å
α = 90.00°, β = 90.00°, γ = 90.00°
Space group F-43m (No. 216)
Asymmetric unit:
Sm 0.000 0.000 0.000 (multiplicity 4)
Pu 0.000 0.000 0.500 (multiplicity 4)
Ge 0.250 0.250 0.250 (multiplicity 4)
Au 0.250 0.250 0.750 (multiplicity 4)

Entry from Alexandria: SmPu2Ge2Au2 after structural relaxation (PBE-GGA).

ΔE_f	-46	kJ per mole of atoms

a = 4.5607 Å, b = 4.5607 Å, c = 25.9210 Å
α = 90.00°, β = 90.00°, γ = 120.00°
Space group R-3m (No. 166, hexagonal axes)
Asymmetric unit:
Sm 0.0000 0.0000 0.0000 (multiplicity 3)
Pu 0.0000 0.0000 0.1414 (multiplicity 6)
Ge 0.0000 0.0000 0.2635 (multiplicity 6)
Au 0.0000 0.0000 0.4173 (multiplicity 6)

Entry from Alexandria: Pu2SnGe3Au4 after structural relaxation (PBE-GGA).

ΔE_f	-29	kJ per mole of atoms

a = 4.420 Å, b = 4.420 Å, c = 11.177 Å
α = 90.00°, β = 90.00°, γ = 90.00°
Space group P-4m2 (No. 115)
Asymmetric unit:
Pu 0.000 0.500 0.229 (multiplicity 2)
Sn 0.000 0.000 0.500 (multiplicity 1)
Ge 0.000 0.500 0.869 (multiplicity 2)
Ge 0.500 0.500 0.500 (multiplicity 1)
Au 0.000 0.000 0.000 (multiplicity 1)
Au 0.000 0.500 0.647 (multiplicity 2)
Au 0.500 0.500 0.000 (multiplicity 1)

Entry from Alexandria: Sr2PuGe3Au12 after structural relaxation (PBE-GGA).

ΔE_f	-8	kJ per mole of atoms

a = 9.3833 Å, b = 9.3833 Å, c = 17.8046 Å
α = 90.00°, β = 90.00°, γ = 120.00°
Space group R-3m (No. 166, hexagonal axes)
Asymmetric unit:
Sr 0.0000 0.0000 0.1002 (multiplicity 6)
Pu 0.0000 0.0000 0.5000 (multiplicity 3)
Ge 0.0000 0.5000 0.0000 (multiplicity 9)
Au 0.0212 0.5106 0.3196 (multiplicity 18)
Au 0.0212 0.5106 0.8563 (multiplicity 18)

Entry from Alexandria: PuGeTe3Au after structural relaxation (PBE-GGA).

raw formation energy	-0.418	eV per atom

a = 8.003 Å, b = 4.161 Å, c = 10.209 Å
α = 90.00°, β = 100.51°, γ = 90.00°
Space group P2_1/m (No. 11)
Asymmetric unit:
Pu 0.209 0.250 0.301 (multiplicity 2)
Ge 0.330 0.750 0.854 (multiplicity 2)
Te 0.057 0.250 0.850 (multiplicity 2)
Te 0.324 0.750 0.537 (multiplicity 2)
Te 0.406 0.750 0.141 (multiplicity 2)
Au 0.090 0.250 0.585 (multiplicity 2)

Record order is preserved below.
E_tot: -5.94; -8.17; -5.46; -6.80; -7.67; -7.29; -7.51; -6.26; -4.02; -5.69 eV per atom